--- w ---
A plane-wave DFT calculation with GGA-PBE was carried out for a geometry-optimized BaCoC3 structure.

CIF file:
```
data_BaCoC3
_cell_length_a 4.033
_cell_length_b 4.033
_cell_length_c 4.033
_cell_angle_alpha 90.00
_cell_angle_beta 90.00
_cell_angle_gamma 90.00
_symmetry_space_group_name_H-M 'P m -3 m'
_symmetry_Int_Tables_number 221
_symmetry_space_group_name_Hall '-P 4 2 3'
loop_
_atom_site_label
_atom_site_type_symbol
_atom_site_fract_x
_atom_site_fract_y
_atom_site_fract_z
Ba1 Ba 0.000 0.000 0.000
Co1 Co 0.500 0.500 0.500
C1 C 0.000 0.500 0.500
```

Properties
- crystal system = cubic
- M_tot (μB/cell) = 0.001

--- x ---
A plane-wave DFT calculation with GGA-PBE was carried out for a geometry-optimized BaCoC3 structure.

CIF file:
```
data_BaCoC3
_cell_length_a 4.596
_cell_length_b 4.596
_cell_length_c 4.596
_cell_angle_alpha 90.00
_cell_angle_beta 90.00
_cell_angle_gamma 90.00
_symmetry_space_group_name_H-M 'P m -3 m'
_symmetry_Int_Tables_number 221
_symmetry_space_group_name_Hall '-P 4 2 3'
loop_
_atom_site_label
_atom_site_type_symbol
_atom_site_fract_x
_atom_site_fract_y
_atom_site_fract_z
Ba1 Ba 0.000 0.000 0.000
Co1 Co 0.500 0.500 0.500
C1 C 0.000 0.000 0.500
```

Properties
- crystal system = cubic
- M_tot (μB/cell) = 0.025

Last place for stability: x

--- w ---
A plane-wave DFT calculation with GGA-PBE was carried out for a geometry-optimized BaCr3C structure.

CIF file:
```
data_BaCr3C
_cell_length_a 5.157
_cell_length_b 5.157
_cell_length_c 5.157
_cell_angle_alpha 90.00
_cell_angle_beta 90.00
_cell_angle_gamma 90.00
_symmetry_space_group_name_H-M 'P m -3 m'
_symmetry_Int_Tables_number 221
_symmetry_space_group_name_Hall '-P 4 2 3'
loop_
_atom_site_label
_atom_site_type_symbol
_atom_site_fract_x
_atom_site_fract_y
_atom_site_fract_z
Ba1 Ba 0.000 0.000 0.000
Cr1 Cr 0.000 0.000 0.500
C1 C 0.500 0.500 0.500
```

Properties
- crystal system = cubic
- M_tot (μB/cell) = 10.129

--- x ---
A plane-wave DFT calculation with GGA-PBE was carried out for a geometry-optimized BaCr3C structure.

CIF file:
```
data_BaCr3C
_cell_length_a 4.302
_cell_length_b 4.302
_cell_length_c 4.302
_cell_angle_alpha 90.00
_cell_angle_beta 90.00
_cell_angle_gamma 90.00
_symmetry_space_group_name_H-M 'P m -3 m'
_symmetry_Int_Tables_number 221
_symmetry_space_group_name_Hall '-P 4 2 3'
loop_
_atom_site_label
_atom_site_type_symbol
_atom_site_fract_x
_atom_site_fract_y
_atom_site_fract_z
Ba1 Ba 0.000 0.000 0.000
Cr1 Cr 0.000 0.500 0.500
C1 C 0.500 0.500 0.500
```

Properties
- crystal system = cubic
- M_tot (μB/cell) = 8.054

Last place for stability: w

--- w ---
A plane-wave DFT calculation with GGA-PBE was carried out for a geometry-optimized BaCrC2 structure.

CIF file:
```
data_BaCrC2
_cell_length_a 6.163
_cell_length_b 6.163
_cell_length_c 6.163
_cell_angle_alpha 90.00
_cell_angle_beta 90.00
_cell_angle_gamma 90.00
_symmetry_space_group_name_H-M 'F m -3 m'
_symmetry_Int_Tables_number 225
_symmetry_space_group_name_Hall '-F 4 2 3'
loop_
_atom_site_label
_atom_site_type_symbol
_atom_site_fract_x
_atom_site_fract_y
_atom_site_fract_z
Ba1 Ba 0.000 0.000 0.000
Cr1 Cr 0.000 0.000 0.500
C1 C 0.250 0.250 0.250
```

Properties
- crystal system = cubic
- M_tot (μB/cell) = 0.000

--- x ---
A plane-wave DFT calculation with GGA-PBE was carried out for a geometry-optimized BaCrC2 structure.

CIF file:
```
data_BaCrC2
_cell_length_a 5.823
_cell_length_b 5.823
_cell_length_c 8.228
_cell_angle_alpha 90.00
_cell_angle_beta 90.00
_cell_angle_gamma 90.00
_symmetry_space_group_name_H-M 'I -4 2 d'
_symmetry_Int_Tables_number 122
_symmetry_space_group_name_Hall 'I -4 2bw'
loop_
_atom_site_label
_atom_site_type_symbol
_atom_site_fract_x
_atom_site_fract_y
_atom_site_fract_z
Ba1 Ba 0.000 0.000 0.000
Cr1 Cr 0.000 0.000 0.500
C1 C 0.062 0.750 0.625
```

Properties
- crystal system = tetragonal
- M_tot (μB/cell) = 0.000

Last place for stability: w

--- w ---
A plane-wave DFT calculation with GGA-PBE was carried out for a geometry-optimized BaC3F structure.

CIF file:
```
data_BaC3F
_cell_length_a 4.222
_cell_length_b 4.222
_cell_length_c 4.222
_cell_angle_alpha 90.00
_cell_angle_beta 90.00
_cell_angle_gamma 90.00
_symmetry_space_group_name_H-M 'P m -3 m'
_symmetry_Int_Tables_number 221
_symmetry_space_group_name_Hall '-P 4 2 3'
loop_
_atom_site_label
_atom_site_type_symbol
_atom_site_fract_x
_atom_site_fract_y
_atom_site_fract_z
Ba1 Ba 0.000 0.000 0.000
C1 C 0.000 0.500 0.500
F1 F 0.500 0.500 0.500
```

Properties
- crystal system = cubic
- M_tot (μB/cell) = 0.000

--- x ---
A plane-wave DFT calculation with GGA-PBE was carried out for a geometry-optimized BaC3F structure.

CIF file:
```
data_BaC3F
_cell_length_a 5.742
_cell_length_b 5.742
_cell_length_c 5.742
_cell_angle_alpha 90.00
_cell_angle_beta 90.00
_cell_angle_gamma 90.00
_symmetry_space_group_name_H-M 'P m -3 m'
_symmetry_Int_Tables_number 221
_symmetry_space_group_name_Hall '-P 4 2 3'
loop_
_atom_site_label
_atom_site_type_symbol
_atom_site_fract_x
_atom_site_fract_y
_atom_site_fract_z
Ba1 Ba 0.000 0.000 0.000
C1 C 0.000 0.000 0.500
F1 F 0.500 0.500 0.500
```

Properties
- crystal system = cubic
- M_tot (μB/cell) = 7.000

Last place for stability: x

--- w ---
A plane-wave DFT calculation with GGA-PBE was carried out for a geometry-optimized BaCF3 structure.

CIF file:
```
data_BaCF3
_cell_length_a 5.082
_cell_length_b 5.082
_cell_length_c 5.082
_cell_angle_alpha 90.00
_cell_angle_beta 90.00
_cell_angle_gamma 90.00
_symmetry_space_group_name_H-M 'P m -3 m'
_symmetry_Int_Tables_number 221
_symmetry_space_group_name_Hall '-P 4 2 3'
loop_
_atom_site_label
_atom_site_type_symbol
_atom_site_fract_x
_atom_site_fract_y
_atom_site_fract_z
Ba1 Ba 0.000 0.000 0.000
C1 C 0.500 0.500 0.500
F1 F 0.000 0.000 0.500
```

Properties
- crystal system = cubic
- M_tot (μB/cell) = 1.000

--- x ---
A plane-wave DFT calculation with GGA-PBE was carried out for a geometry-optimized BaCF3 structure.

CIF file:
```
data_BaCF3
_cell_length_a 4.196
_cell_length_b 4.196
_cell_length_c 4.196
_cell_angle_alpha 90.00
_cell_angle_beta 90.00
_cell_angle_gamma 90.00
_symmetry_space_group_name_H-M 'P m -3 m'
_symmetry_Int_Tables_number 221
_symmetry_space_group_name_Hall '-P 4 2 3'
loop_
_atom_site_label
_atom_site_type_symbol
_atom_site_fract_x
_atom_site_fract_y
_atom_site_fract_z
Ba1 Ba 0.000 0.000 0.000
C1 C 0.500 0.500 0.500
F1 F 0.000 0.500 0.500
```

Properties
- crystal system = cubic
- M_tot (μB/cell) = 1.000

Last place for stability: w

--- w ---
A plane-wave DFT calculation with GGA-PBE was carried out for a geometry-optimized BaCF2 structure.

CIF file:
```
data_BaCF2
_cell_length_a 4.518
_cell_length_b 4.518
_cell_length_c 15.622
_cell_angle_alpha 90.00
_cell_angle_beta 90.00
_cell_angle_gamma 90.00
_symmetry_space_group_name_H-M 'I -4 2 d'
_symmetry_Int_Tables_number 122
_symmetry_space_group_name_Hall 'I -4 2bw'
loop_
_atom_site_label
_atom_site_type_symbol
_atom_site_fract_x
_atom_site_fract_y
_atom_site_fract_z
Ba1 Ba 0.000 0.000 0.000
C1 C 0.000 0.000 0.500
F1 F 0.225 0.250 0.625
```

Properties
- crystal system = tetragonal
- M_tot (μB/cell) = 8.000

--- x ---
A plane-wave DFT calculation with GGA-PBE was carried out for a geometry-optimized BaCF2 structure.

CIF file:
```
data_BaCF2
_cell_length_a 4.5072
_cell_length_b 4.5072
_cell_length_c 15.8006
_cell_angle_alpha 90.00
_cell_angle_beta 90.00
_cell_angle_gamma 120.00
_symmetry_space_group_name_H-M 'R -3 m'
_symmetry_Int_Tables_number 166
_symmetry_space_group_name_Hall '-R 3 2"'
loop_
_atom_site_label
_atom_site_type_symbol
_atom_site_fract_x
_atom_site_fract_y
_atom_site_fract_z
Ba1 Ba 0.0000 0.0000 0.0000
C1 C 0.0000 0.0000 0.5000
F1 F 0.0000 0.0000 0.3719
```

Properties
- crystal system = trigonal
- M_tot (μB/cell) = 6.000

Last place for stability: w